Entry 1:
A plane-wave DFT calculation with GGA-PBE was carried out for a relaxed Ag3IrPt crystal.

POSCAR file:
```
Ag3IrPt
1.0
4.978 0.000 0.000
0.000 4.978 0.000
0.000 0.000 4.978
Ag Ir Pt
3 1 1
direct
0.000 0.000 0.500
0.000 0.500 0.000
0.500 0.000 0.000
0.000 0.000 0.000
0.500 0.500 0.500
```

Values from the calculation:
* spin magnetization: 1.528 μB per formula unit
* D(E_F): 7.14 states/eV per cell
* DFT formation energy: 1588 meV per atom
* calculated density: 9.6 g/cm3
* polymorph energy (0 for the lowest one): 0 meV per atom

=====

Entry 2:
A plane-wave DFT calculation with GGA-PBE was carried out for a relaxed AgIrPt2 crystal.

POSCAR file:
```
AgIrPt2
1.0
3.980 0.000 0.000
0.000 3.980 0.000
0.000 0.000 3.975
Ag Ir Pt
1 1 2
direct
0.000 0.000 0.000
0.500 0.500 0.000
0.000 0.500 0.500
0.500 0.000 0.500
```

Values from the calculation:
* spin magnetization: 0.000 μB per formula unit
* D(E_F): 4.90 states/eV per cell
* DFT formation energy: 232 meV per atom
* calculated density: 18.2 g/cm3
* polymorph energy (0 for the lowest one): 184 meV per atom

=====

Entry 3:
A plane-wave DFT calculation with GGA-PBE was carried out for a relaxed AgIr2Pt2 crystal.

POSCAR file:
```
AgIr2Pt2
1.0
7.767 0.000 0.000
0.000 7.767 0.000
0.000 0.000 2.756
Ag Ir Pt
2 4 4
direct
0.000 0.000 0.000
0.500 0.500 0.000
0.119 0.381 0.000
0.381 0.881 0.000
0.619 0.119 0.000
0.881 0.619 0.000
0.180 0.680 0.500
0.320 0.180 0.500
0.680 0.820 0.500
0.820 0.320 0.500
```

Values from the calculation:
* spin magnetization: 0.000 μB per formula unit
* D(E_F): 10.22 states/eV per cell
* DFT formation energy: 267 meV per atom
* calculated density: 17.6 g/cm3
* polymorph energy (0 for the lowest one): 0 meV per atom

=====

Entry 4:
A plane-wave DFT calculation with GGA-PBE was carried out for a relaxed AgIr2Pt crystal.

POSCAR file:
```
AgIr2Pt
1.0
2.784 0.000 0.000
0.000 2.784 0.000
0.000 0.000 8.033
Ag Ir Pt
1 2 1
direct
0.000 0.000 0.000
0.500 0.500 0.265
0.500 0.500 0.735
0.000 0.000 0.500
```

Values from the calculation:
* spin magnetization: 0.000 μB per formula unit
* D(E_F): 2.48 states/eV per cell
* DFT formation energy: 296 meV per atom
* calculated density: 18.3 g/cm3
* polymorph energy (0 for the lowest one): 192 meV per atom

=====

Entry 5:
A plane-wave DFT calculation with GGA-PBE was carried out for a relaxed AgIr2Pt crystal.

POSCAR file:
```
AgIr2Pt
1.0
0.000 3.157 3.157
3.157 0.000 3.157
3.157 3.157 0.000
Ag Ir Pt
1 2 1
direct
0.000 0.000 0.000
0.250 0.250 0.250
0.500 0.500 0.500
0.750 0.750 0.750
```

Values from the calculation:
* spin magnetization: 0.000 μB per formula unit
* D(E_F): 5.98 states/eV per cell
* DFT formation energy: 512 meV per atom
* calculated density: 18.1 g/cm3
* polymorph energy (0 for the lowest one): 408 meV per atom

=====

Entry 6:
A plane-wave DFT calculation with GGA-PBE was carried out for a relaxed AgIrPt2 crystal.

POSCAR file:
```
AgIrPt2
1.0
-2.001 2.001 3.927
2.001 -2.001 3.927
2.001 2.001 -3.927
Ag Ir Pt
1 1 2
direct
0.000 0.000 0.000
0.500 0.500 0.000
0.250 0.750 0.500
0.750 0.250 0.500
```

Values from the calculation:
* spin magnetization: 0.000 μB per formula unit
* D(E_F): 5.16 states/eV per cell
* DFT formation energy: 211 meV per atom
* calculated density: 18.2 g/cm3
* polymorph energy (0 for the lowest one): 164 meV per atom

=====

Calculated volume (Å³ per cell)
123.32 62.97 166.23 62.28 62.93 62.89